The following is a DFT calculation (GGA-PBE) of an optimized crystal structure of La4Sn2Ru.

## Properties
mass density: 6.317 Mg/m³
volume: 33.58 A^3/atom
energy above the lowest structure with this stoichiometry: 8.1 kJ/mol of atoms
energy of formation from the pure elements: -0.5205 eV per atom
density of states at the Fermi level: 8.8 states/eV per cell

a b c (Å): 5.2062 5.2062 17.3439
angles (deg): 90.00 90.00 90.00
Last column: nearest neighbours and their distance in Å.
Fractional positions:
La 0.0000 0.0000 0.1765  1 Ru 3.06, 1 Sn 3.22
La 0.0000 0.0000 0.8235  1 Ru 3.06, 1 Sn 3.22
La 0.0000 0.5000 0.0000  2 Ru 2.60
La 0.0000 0.5000 0.5000  2 Ru 2.60
La 0.5000 0.0000 0.0000  2 Ru 2.60
La 0.5000 0.0000 0.5000  2 Ru 2.60
La 0.5000 0.5000 0.3235  1 Ru 3.06, 1 Sn 3.22
La 0.5000 0.5000 0.6765  1 Ru 3.06, 1 Sn 3.22
Sn 0.0000 0.0000 0.3623  5 La 3.22-3.53
Sn 0.0000 0.0000 0.6377  5 La 3.22-3.53
Sn 0.5000 0.5000 0.1377  5 La 3.22-3.53
Sn 0.5000 0.5000 0.8623  5 La 3.22-3.53
Ru 0.0000 0.0000 0.0000  4 La 2.60
Ru 0.5000 0.5000 0.5000  4 La 2.60